Record 1
VASP calculation (PBE-GGA) on a relaxed YCo2Mo crystal. Values from VASP.

Structure (Quantum ESPRESSO input):
```
&SYSTEM
  ibrav = 0, nat = 4, ntyp = 3
/
ATOMIC_SPECIES
Co 58.93 Co.upf
Mo 95.94 Mo.upf
Y 88.91 Y.upf
ATOMIC_POSITIONS angstrom
Co 0.000 3.073 2.990
Co 0.000 3.064 0.382
Mo 1.534 1.536 1.690
Y 1.534 4.607 5.071
CELL_PARAMETERS angstrom
3.067 0.000 0.000
0.000 3.066 -0.009
0.000 3.076 6.770
```

Computed properties:
For the total magnetization, the calculation gives 0.0 μB per formula unit. For the energy relative to the lowest polymorph listed for this composition, the calculation gives 75.1 meV/atom.

***

Record 2
VASP calculation (PBE-GGA) on a relaxed MgV2H4 crystal. Values from VASP.

Structure (Quantum ESPRESSO input):
```
&SYSTEM
  ibrav = 0, nat = 14, ntyp = 3
/
ATOMIC_SPECIES
V 50.94 V.upf
Mg 24.30 Mg.upf
H 1.01 H.upf
ATOMIC_POSITIONS angstrom
V 2.691 1.448 0.965
V -1.316 -0.098 2.993
V 2.596 4.171 1.005
V 1.407 0.003 2.948
Mg -0.062 2.690 2.020
Mg 5.445 0.205 -0.090
H 0.093 -1.250 3.122
H 3.941 0.126 1.094
H 1.541 0.041 1.134
H 0.004 1.150 3.157
H 2.721 1.257 2.774
H 1.441 2.769 0.836
H 2.810 -1.143 2.739
H 3.841 2.854 0.796
CELL_PARAMETERS angstrom
5.447 0.203 -0.090
-0.191 5.448 0.079
-2.568 -2.888 3.966
```

Computed properties:
For the total magnetization, the calculation gives 0.0 μB per formula unit. The total energy comes out at -0.1794 Ha/atom.

***

Record 3
VASP calculation (PBE-GGA) on a relaxed AcScIr2 crystal. Values from VASP.

Structure (Quantum ESPRESSO input):
```
&SYSTEM
  ibrav = 0, nat = 4, ntyp = 3
/
ATOMIC_SPECIES
Sc 44.96 Sc.upf
Ac 227.00 Ac.upf
Ir 192.22 Ir.upf
ATOMIC_POSITIONS angstrom
Sc 1.682 1.682 0.000
Ac 1.682 1.682 3.678
Ir 0.000 0.000 1.525
Ir 0.000 0.000 5.831
CELL_PARAMETERS angstrom
3.364 0.000 0.000
0.000 3.364 0.000
0.000 0.000 7.356
```

Computed properties:
For the total magnetization, the calculation gives 0.0 μB per formula unit. For the energy relative to the lowest polymorph listed for this composition, the calculation gives 7.2 meV/atom.

***

Record 4
VASP calculation (PBE-GGA) on a relaxed Li2NdYAu4 crystal. Values from VASP.

Structure (Quantum ESPRESSO input):
```
&SYSTEM
  ibrav = 0, nat = 8, ntyp = 4
/
ATOMIC_SPECIES
Y 88.91 Y.upf
Li 6.94 Li.upf
Nd 144.24 Nd.upf
Au 196.97 Au.upf
ATOMIC_POSITIONS angstrom
Y -4.100 5.629 0.460
Li -2.050 2.816 0.231
Li -6.151 8.441 0.690
Nd 0.000 0.000 0.000
Au -1.315 5.158 1.479
Au -6.886 6.099 -0.558
Au -4.896 3.092 -0.892
Au -3.304 8.165 1.813
CELL_PARAMETERS angstrom
-2.921 2.591 -3.141
-4.791 0.875 1.179
-0.488 7.791 2.883
```

Computed properties:
For the total magnetization, the calculation gives 0.0 μB per formula unit. The total energy comes out at -0.1545 Ha/atom.

***

Record 5
VASP calculation (PBE-GGA) on a relaxed LiAcHoZn crystal. Values from VASP.

Structure (Quantum ESPRESSO input):
```
&SYSTEM
  ibrav = 0, nat = 4, ntyp = 4
/
ATOMIC_SPECIES
Ho 164.93 Ho.upf
Ac 227.00 Ac.upf
Li 6.94 Li.upf
Zn 65.41 Zn.upf
ATOMIC_POSITIONS angstrom
Ho 2.682 1.548 1.095
Ac 8.045 4.645 3.284
Li 0.000 0.000 0.000
Zn 5.363 3.096 2.190
CELL_PARAMETERS angstrom
5.363 0.000 0.000
2.682 4.645 0.000
2.682 1.548 4.379
```

Computed properties:
For the total magnetization, the calculation gives 0.0 μB per formula unit. The total energy comes out at -0.1111 Ha/atom.

***

Record 6
VASP calculation (PBE-GGA) on a relaxed ZrCu5S5 crystal. Values from VASP.

Structure (Quantum ESPRESSO input):
```
&SYSTEM
  ibrav = 0, nat = 11, ntyp = 3
/
ATOMIC_SPECIES
S 32.06 S.upf
Cu 63.55 Cu.upf
Zr 91.22 Zr.upf
ATOMIC_POSITIONS angstrom
S 2.383 -4.360 0.752
S 1.193 -1.855 -1.419
S 5.186 -2.377 0.784
S -1.609 -3.838 -1.451
S -1.040 -1.788 1.462
Cu 3.559 -1.072 1.222
Cu 4.253 -4.237 2.232
Cu 0.256 -3.486 0.307
Cu 3.321 -2.729 -0.974
Cu -0.676 -1.977 -2.899
Zr 0.000 0.000 0.000
CELL_PARAMETERS angstrom
-2.080 -3.575 2.923
-1.461 -0.496 -6.034
7.118 -2.144 2.443
```

Computed properties:
For the total magnetization, the calculation gives 0.0 μB per formula unit. The formation energy from raw total energies comes out at -365 meV/atom.

***

Record 7
VASP calculation (PBE-GGA) on a relaxed Be2CBr crystal. Values from VASP.

Structure (Quantum ESPRESSO input):
```
&SYSTEM
  ibrav = 0, nat = 8, ntyp = 3
/
ATOMIC_SPECIES
Be 9.01 Be.upf
C 12.01 C.upf
Br 79.90 Br.upf
ATOMIC_POSITIONS angstrom
Be 1.727 3.448 1.222
Be 2.870 1.149 1.222
Be 5.746 5.168 3.665
Be 3.448 4.025 3.665
C 2.298 2.298 0.000
C 2.298 4.597 2.443
Br 0.000 0.000 0.000
Br 4.597 2.298 2.443
CELL_PARAMETERS angstrom
4.597 0.000 0.000
0.000 4.597 0.000
2.298 2.298 4.887
```

Computed properties:
For the total magnetization, the calculation gives 0.0 μB per formula unit. The formation energy from raw total energies comes out at 296 meV/atom. For the energy relative to the lowest polymorph listed for this composition, the calculation gives 0.0 meV/atom.

***

Record 8
VASP calculation (PBE-GGA) on a relaxed AcLaSm6Y2 crystal. Values from VASP.

Structure (Quantum ESPRESSO input):
```
&SYSTEM
  ibrav = 0, nat = 20, ntyp = 4
/
ATOMIC_SPECIES
La 138.91 La.upf
Ac 227.00 Ac.upf
Sm 150.36 Sm.upf
Y 88.91 Y.upf
ATOMIC_POSITIONS angstrom
La 0.707 -5.136 1.355
La 1.337 -7.524 -3.670
Ac -5.311 -9.467 1.087
Ac 7.355 -3.194 -3.401
Sm -2.110 -10.717 -0.038
Sm 5.998 -5.776 -1.264
Sm -2.078 -8.477 -3.207
Sm 2.331 -4.617 -1.786
Sm 3.929 -8.296 -6.696
Sm 4.419 -5.094 -4.703
Sm -1.886 -4.364 4.382
Sm 4.153 -1.943 -2.276
Sm 4.121 -4.184 0.892
Sm -0.288 -8.044 -0.528
Sm -3.954 -6.884 -1.050
Sm -2.375 -7.567 2.389
Y 0.278 -10.847 -2.662
Y 3.093 -7.453 -0.101
Y 1.766 -1.813 0.348
Y -1.049 -5.207 -2.213
CELL_PARAMETERS angstrom
-3.157 -6.066 -6.890
8.663 -1.526 -2.050
-3.462 -5.069 6.626
```

Computed properties:
For the total magnetization, the calculation gives 0.0 μB per formula unit. The total energy comes out at -0.1802 Ha/atom.

***

Record 9
VASP calculation (PBE-GGA) on a relaxed LiAlP crystal. Values from VASP.

Structure (Quantum ESPRESSO input):
```
&SYSTEM
  ibrav = 0, nat = 3, ntyp = 3
/
ATOMIC_SPECIES
Al 26.98 Al.upf
Li 6.94 Li.upf
P 30.97 P.upf
ATOMIC_POSITIONS angstrom
Al -0.257 -0.117 0.138
Li -2.400 -1.092 1.285
P -4.565 -2.078 2.444
CELL_PARAMETERS angstrom
-3.296 -0.164 3.781
-3.927 -3.123 0.086
4.948 -0.007 -0.841
```

Computed properties:
For the total magnetization, the calculation gives 0.0 μB per formula unit. The total energy comes out at -0.1415 Ha/atom.

***

Record 10
VASP calculation (PBE-GGA) on a relaxed LaTe2Mo crystal. Values from VASP.

Structure (Quantum ESPRESSO input):
```
&SYSTEM
  ibrav = 0, nat = 4, ntyp = 3
/
ATOMIC_SPECIES
Te 127.60 Te.upf
Mo 95.94 Mo.upf
La 138.91 La.upf
ATOMIC_POSITIONS angstrom
Te 4.492 2.576 3.361
Te 2.226 1.276 5.701
Mo 6.738 3.864 4.534
La 2.246 1.288 1.511
CELL_PARAMETERS angstrom
4.494 -0.004 0.003
2.266 3.881 0.003
2.225 1.276 6.039
```

Computed properties:
For the total magnetization, the calculation gives 1.0 μB per formula unit. The formation energy from raw total energies comes out at -513 meV/atom. For the energy relative to the lowest polymorph listed for this composition, the calculation gives 0.0 meV/atom.